(1)
## HoScAgHg (PBE-GGA)

Data for crystalline HoScAgHg at its relaxed geometry.

Results
Spin magnetization = 0.00 μB/f.u.
DOS at the Fermi energy = 17.85 states/eV/cell
E_tot = -3.88 eV per atom
Symmetry = F-43m (216)
Calculated formation energy = -0.369 eV per atom

Unit cell a=7.1503 b=7.1503 c=7.1503 alpha=90.00 beta=90.00 gamma=90.00
Fractional coordinates of all 16 atoms:
Ho (0.0000, 0.0000, 0.0000)
Ho (0.0000, 0.5000, 0.5000)
Ho (0.5000, 0.0000, 0.5000)
Ho (0.5000, 0.5000, 0.0000)
Sc (0.0000, 0.0000, 0.5000)
Sc (0.0000, 0.5000, 0.0000)
Sc (0.5000, 0.0000, 0.0000)
Sc (0.5000, 0.5000, 0.5000)
Ag (0.2500, 0.2500, 0.2500)
Ag (0.2500, 0.7500, 0.7500)
Ag (0.7500, 0.2500, 0.7500)
Ag (0.7500, 0.7500, 0.2500)
Hg (0.2500, 0.2500, 0.7500)
Hg (0.2500, 0.7500, 0.2500)
Hg (0.7500, 0.2500, 0.2500)
Hg (0.7500, 0.7500, 0.7500)


(2)
## SmHoAgHg (PBE-GGA)

Data for crystalline SmHoAgHg at its relaxed geometry.

Results
Spin magnetization = 0.00 μB/f.u.
DOS at the Fermi energy = 3.39 states/eV/cell
E_tot = -3.50 eV per atom
Symmetry = P4mm (99)
Calculated formation energy = -0.389 eV per atom

Unit cell a=3.6940 b=3.6940 c=7.4670 alpha=90.00 beta=90.00 gamma=90.00
Fractional coordinates of all 4 atoms:
Sm (0.0000, 0.0000, 0.0000)
Ho (0.0000, 0.0000, 0.4891)
Ag (0.5000, 0.5000, 0.2594)
Hg (0.5000, 0.5000, 0.7345)


(3)
## SmHo2AgHg4 (PBE-GGA)

Data for crystalline SmHo2AgHg4 at its relaxed geometry.

Results
Spin magnetization = 0.00 μB/f.u.
DOS at the Fermi energy = 6.01 states/eV/cell
E_tot = -2.62 eV per atom
Symmetry = R-3m (166)
Calculated formation energy = -0.380 eV per atom

Unit cell a=9.3253 b=9.3253 c=9.3253 alpha=31.59 beta=31.59 gamma=31.59
Fractional coordinates of all 8 atoms:
Sm (0.0000, 0.0000, 0.0000)
Ho (0.2401, 0.2401, 0.2401)
Ho (0.7599, 0.7599, 0.7599)
Ag (0.5000, 0.5000, 0.5000)
Hg (0.1246, 0.1246, 0.1246)
Hg (0.3787, 0.3787, 0.3787)
Hg (0.6213, 0.6213, 0.6213)
Hg (0.8754, 0.8754, 0.8754)


(4)
## SmHoAgHg (PBE-GGA)

Data for crystalline SmHoAgHg at its relaxed geometry.

Results
Spin magnetization = 0.00 μB/f.u.
DOS at the Fermi energy = 12.40 states/eV/cell
E_tot = -3.50 eV per atom
Symmetry = F-43m (216)
Calculated formation energy = -0.389 eV per atom

Unit cell a=7.4165 b=7.4165 c=7.4165 alpha=90.00 beta=90.00 gamma=90.00
Fractional coordinates of all 16 atoms:
Sm (0.0000, 0.0000, 0.0000)
Sm (0.0000, 0.5000, 0.5000)
Sm (0.5000, 0.0000, 0.5000)
Sm (0.5000, 0.5000, 0.0000)
Ho (0.0000, 0.0000, 0.5000)
Ho (0.0000, 0.5000, 0.0000)
Ho (0.5000, 0.0000, 0.0000)
Ho (0.5000, 0.5000, 0.5000)
Ag (0.2500, 0.2500, 0.2500)
Ag (0.2500, 0.7500, 0.7500)
Ag (0.7500, 0.2500, 0.7500)
Ag (0.7500, 0.7500, 0.2500)
Hg (0.2500, 0.2500, 0.7500)
Hg (0.2500, 0.7500, 0.2500)
Hg (0.7500, 0.2500, 0.2500)
Hg (0.7500, 0.7500, 0.7500)


(5)
## Sm2HoAgHg4 (PBE-GGA)

Data for crystalline Sm2HoAgHg4 at its relaxed geometry.

Results
Spin magnetization = 0.00 μB/f.u.
DOS at the Fermi energy = 6.59 states/eV/cell
E_tot = -2.66 eV per atom
Symmetry = R-3m (166)
Calculated formation energy = -0.404 eV per atom

Unit cell a=9.1598 b=9.1598 c=9.1598 alpha=32.78 beta=32.78 gamma=32.78
Fractional coordinates of all 8 atoms:
Sm (0.2424, 0.2424, 0.2424)
Sm (0.7576, 0.7576, 0.7576)
Ho (0.0000, 0.0000, 0.0000)
Ag (0.5000, 0.5000, 0.5000)
Hg (0.1231, 0.1231, 0.1231)
Hg (0.3703, 0.3703, 0.3703)
Hg (0.6297, 0.6297, 0.6297)
Hg (0.8769, 0.8769, 0.8769)


(6)
## Sm2HoAg2Hg2 (PBE-GGA)

Data for crystalline Sm2HoAg2Hg2 at its relaxed geometry.

Results
Spin magnetization = 0.00 μB/f.u.
DOS at the Fermi energy = 5.50 states/eV/cell
E_tot = -3.14 eV per atom
Symmetry = R-3m (166)
Calculated formation energy = -0.232 eV per atom

Unit cell a=9.2138 b=9.2138 c=9.2138 alpha=30.68 beta=30.68 gamma=30.68
Fractional coordinates of all 7 atoms:
Sm (0.1228, 0.1228, 0.1228)
Sm (0.8772, 0.8772, 0.8772)
Ho (0.0000, 0.0000, 0.0000)
Ag (0.3926, 0.3926, 0.3926)
Ag (0.6074, 0.6074, 0.6074)
Hg (0.2633, 0.2633, 0.2633)
Hg (0.7367, 0.7367, 0.7367)


(7)
## Tb2HoAgHg4 (PBE-GGA)

Data for crystalline Tb2HoAgHg4 at its relaxed geometry.

Results
Spin magnetization = 0.00 μB/f.u.
DOS at the Fermi energy = 6.29 states/eV/cell
E_tot = -2.64 eV per atom
Symmetry = R-3m (166)
Calculated formation energy = -0.402 eV per atom

Unit cell a=9.0714 b=9.0714 c=9.0714 alpha=32.81 beta=32.81 gamma=32.81
Fractional coordinates of all 8 atoms:
Tb (0.2425, 0.2425, 0.2425)
Tb (0.7575, 0.7575, 0.7575)
Ho (0.0000, 0.0000, 0.0000)
Ag (0.5000, 0.5000, 0.5000)
Hg (0.1232, 0.1232, 0.1232)
Hg (0.3716, 0.3716, 0.3716)
Hg (0.6284, 0.6284, 0.6284)
Hg (0.8768, 0.8768, 0.8768)


(8)
## TbHo2AgHg4 (PBE-GGA)

Data for crystalline TbHo2AgHg4 at its relaxed geometry.

Results
Spin magnetization = 0.00 μB/f.u.
DOS at the Fermi energy = 6.59 states/eV/cell
E_tot = -2.62 eV per atom
Symmetry = R-3m (166)
Calculated formation energy = -0.389 eV per atom

Unit cell a=9.1050 b=9.1050 c=9.1050 alpha=32.53 beta=32.53 gamma=32.53
Fractional coordinates of all 8 atoms:
Tb (0.0000, 0.0000, 0.0000)
Ho (0.2418, 0.2418, 0.2418)
Ho (0.7582, 0.7582, 0.7582)
Ag (0.5000, 0.5000, 0.5000)
Hg (0.1236, 0.1236, 0.1236)
Hg (0.3740, 0.3740, 0.3740)
Hg (0.6260, 0.6260, 0.6260)
Hg (0.8764, 0.8764, 0.8764)


(9)
## TbHoAgHg (PBE-GGA)

Data for crystalline TbHoAgHg at its relaxed geometry.

Results
Spin magnetization = 0.00 μB/f.u.
DOS at the Fermi energy = 14.90 states/eV/cell
E_tot = -3.49 eV per atom
Symmetry = F-43m (216)
Calculated formation energy = -0.402 eV per atom

Unit cell a=7.3553 b=7.3553 c=7.3553 alpha=90.00 beta=90.00 gamma=90.00
Fractional coordinates of all 16 atoms:
Tb (0.0000, 0.0000, 0.0000)
Tb (0.0000, 0.5000, 0.5000)
Tb (0.5000, 0.0000, 0.5000)
Tb (0.5000, 0.5000, 0.0000)
Ho (0.0000, 0.0000, 0.5000)
Ho (0.0000, 0.5000, 0.0000)
Ho (0.5000, 0.0000, 0.0000)
Ho (0.5000, 0.5000, 0.5000)
Ag (0.2500, 0.2500, 0.2500)
Ag (0.2500, 0.7500, 0.7500)
Ag (0.7500, 0.2500, 0.7500)
Ag (0.7500, 0.7500, 0.2500)
Hg (0.2500, 0.2500, 0.7500)
Hg (0.2500, 0.7500, 0.2500)
Hg (0.7500, 0.2500, 0.2500)
Hg (0.7500, 0.7500, 0.7500)


(10)
## HoTiAgHg (PBE-GGA)

Data for crystalline HoTiAgHg at its relaxed geometry.

Results
Spin magnetization = 1.67 μB/f.u.
DOS at the Fermi energy = 14.15 states/eV/cell
E_tot = -4.01 eV per atom
Symmetry = F-43m (216)
Calculated formation energy = -0.108 eV per atom

Unit cell a=7.0123 b=7.0123 c=7.0123 alpha=90.00 beta=90.00 gamma=90.00
Fractional coordinates of all 16 atoms:
Ho (0.0000, 0.0000, 0.0000)
Ho (0.0000, 0.5000, 0.5000)
Ho (0.5000, 0.0000, 0.5000)
Ho (0.5000, 0.5000, 0.0000)
Ti (0.0000, 0.0000, 0.5000)
Ti (0.0000, 0.5000, 0.0000)
Ti (0.5000, 0.0000, 0.0000)
Ti (0.5000, 0.5000, 0.5000)
Ag (0.2500, 0.2500, 0.7500)
Ag (0.2500, 0.7500, 0.2500)
Ag (0.7500, 0.2500, 0.2500)
Ag (0.7500, 0.7500, 0.7500)
Hg (0.2500, 0.2500, 0.2500)
Hg (0.2500, 0.7500, 0.7500)
Hg (0.7500, 0.2500, 0.7500)
Hg (0.7500, 0.7500, 0.2500)


(11)
## Ho4Tl2AgHg (PBE-GGA)

Data for crystalline Ho4Tl2AgHg at its relaxed geometry.

Results
Spin magnetization = 0.48 μB/f.u.
DOS at the Fermi energy = 7.60 states/eV/cell
E_tot = -3.64 eV per atom
Symmetry = R-3m (166)
Calculated formation energy = -0.366 eV per atom

Unit cell a=9.1361 b=9.1361 c=9.1361 alpha=33.50 beta=33.50 gamma=33.50
Fractional coordinates of all 8 atoms:
Ho (0.1241, 0.1241, 0.1241)
Ho (0.3743, 0.3743, 0.3743)
Ho (0.6257, 0.6257, 0.6257)
Ho (0.8759, 0.8759, 0.8759)
Tl (0.2510, 0.2510, 0.2510)
Tl (0.7490, 0.7490, 0.7490)
Ag (0.0000, 0.0000, 0.0000)
Hg (0.5000, 0.5000, 0.5000)


(12)
## Ho4TlAg2Hg (PBE-GGA)

Data for crystalline Ho4TlAg2Hg at its relaxed geometry.

Results
Spin magnetization = 0.00 μB/f.u.
DOS at the Fermi energy = 4.01 states/eV/cell
E_tot = -3.71 eV per atom
Symmetry = R-3m (166)
Calculated formation energy = -0.373 eV per atom

Unit cell a=9.0288 b=9.0288 c=9.0288 alpha=33.54 beta=33.54 gamma=33.54
Fractional coordinates of all 8 atoms:
Ho (0.1230, 0.1230, 0.1230)
Ho (0.3731, 0.3731, 0.3731)
Ho (0.6269, 0.6269, 0.6269)
Ho (0.8770, 0.8770, 0.8770)
Tl (0.5000, 0.5000, 0.5000)
Ag (0.2498, 0.2498, 0.2498)
Ag (0.7502, 0.7502, 0.7502)
Hg (0.0000, 0.0000, 0.0000)


(13)
## HoTm2AgHg4 (PBE-GGA)

Data for crystalline HoTm2AgHg4 at its relaxed geometry.

Results
Spin magnetization = 0.00 μB/f.u.
DOS at the Fermi energy = 5.71 states/eV/cell
E_tot = -2.58 eV per atom
Symmetry = R-3m (166)
Calculated formation energy = -0.383 eV per atom

Unit cell a=9.0025 b=9.0025 c=9.0025 alpha=32.74 beta=32.74 gamma=32.74
Fractional coordinates of all 8 atoms:
Ho (0.0000, 0.0000, 0.0000)
Tm (0.2427, 0.2427, 0.2427)
Tm (0.7573, 0.7573, 0.7573)
Ag (0.5000, 0.5000, 0.5000)
Hg (0.1236, 0.1236, 0.1236)
Hg (0.3736, 0.3736, 0.3736)
Hg (0.6264, 0.6264, 0.6264)
Hg (0.8764, 0.8764, 0.8764)


(14)
## YHoAgHg (PBE-GGA)

Data for crystalline YHoAgHg at its relaxed geometry.

Results
Spin magnetization = 0.00 μB/f.u.
DOS at the Fermi energy = 17.93 states/eV/cell
E_tot = -3.96 eV per atom
Symmetry = F-43m (216)
Calculated formation energy = -0.412 eV per atom

Unit cell a=7.3486 b=7.3486 c=7.3486 alpha=90.00 beta=90.00 gamma=90.00
Fractional coordinates of all 16 atoms:
Y (0.0000, 0.0000, 0.0000)
Y (0.0000, 0.5000, 0.5000)
Y (0.5000, 0.0000, 0.5000)
Y (0.5000, 0.5000, 0.0000)
Ho (0.0000, 0.0000, 0.5000)
Ho (0.0000, 0.5000, 0.0000)
Ho (0.5000, 0.0000, 0.0000)
Ho (0.5000, 0.5000, 0.5000)
Ag (0.2500, 0.2500, 0.7500)
Ag (0.2500, 0.7500, 0.2500)
Ag (0.7500, 0.2500, 0.2500)
Ag (0.7500, 0.7500, 0.7500)
Hg (0.2500, 0.2500, 0.2500)
Hg (0.2500, 0.7500, 0.7500)
Hg (0.7500, 0.2500, 0.7500)
Hg (0.7500, 0.7500, 0.2500)